1.
Entry from Alexandria: a relaxed structure of Rb6BrO2F (PBE-GGA).

The structure in POSCAR format:
```
Rb6BrO2F
1.0
-2.602 3.997 -6.185
3.754 -4.572 -4.533
-9.093 -6.832 -0.641
Rb O F Br
12 4 2 2
Direct
0.372 0.326 0.501
0.251 0.317 0.822
0.128 0.826 0.999
0.253 0.314 0.179
0.753 0.186 0.679
0.249 0.817 0.678
0.749 0.683 0.178
0.751 0.183 0.322
0.628 0.674 0.499
0.747 0.686 0.821
0.247 0.814 0.321
0.872 0.174 0.001
0.500 0.502 0.699
0.000 0.998 0.199
0.000 0.002 0.801
0.500 0.498 0.301
0.500 0.000 0.500
0.000 0.500 0.000
0.500 0.000 0.000
0.000 0.500 0.500
```

symmetry: No. 14
DFT total energy: -3.30 eV/atom
crystal system: monoclinic
size of the total moment: 0.02 μB per atom
raw formation energy: -1.377 eV per atom

2.
Entry from Alexandria: a relaxed structure of Ru2BrO3F6 (PBE-GGA).

The structure in POSCAR format:
```
Ru2BrO3F6
1.0
7.127 0.000 -2.046
0.000 5.817 0.000
-5.034 -2.909 6.243
F O Br Ru
6 3 1 2
Direct
0.023 0.877 0.327
0.977 0.550 0.673
0.977 0.123 0.673
0.421 0.092 0.183
0.023 0.450 0.327
0.579 0.908 0.817
0.000 0.500 0.000
0.500 0.500 0.500
0.500 0.000 0.500
0.500 0.000 0.000
0.260 0.690 0.380
0.740 0.310 0.620
```

symmetry: No. 12
DOS at the Fermi energy: 6.927 states/eV per cell
DFT total energy: -5.00 eV/atom
crystal system: monoclinic
size of the total moment: 0.01 μB per atom
raw formation energy: -1.139 eV per atom

3.
Entry from Alexandria: a relaxed structure of RuBrO2F (PBE-GGA).

The structure in POSCAR format:
```
RuBrO2F
1.0
-2.782 -1.468 -2.271
-1.052 -2.414 2.849
-2.743 2.928 1.468
O F Br Ru
2 1 1 1
Direct
0.000 0.500 0.000
0.500 0.000 0.000
0.000 0.000 0.500
0.500 0.500 0.500
0.000 0.000 0.000
```

symmetry: No. 123
DOS at the Fermi energy: 3.995 states/eV per cell
DFT total energy: -4.91 eV/atom
crystal system: tetragonal
size of the total moment: 0.10 μB per atom
raw formation energy: -0.359 eV per atom

4.
Entry from Alexandria: a relaxed structure of RuBrO2F (PBE-GGA).

The structure in POSCAR format:
```
RuBrO2F
1.0
3.806 0.000 0.000
0.000 3.806 0.000
0.000 0.000 5.395
Br O F Ru
1 2 1 1
Direct
0.000 0.000 0.000
0.000 0.500 0.000
0.500 0.000 0.000
0.000 0.000 0.500
0.500 0.500 0.500
```

symmetry: No. 123
DOS at the Fermi energy: 7.223 states/eV per cell
DFT total energy: -3.74 eV/atom
crystal system: tetragonal
size of the total moment: 0.71 μB per atom
raw formation energy: 0.803 eV per atom

5.
Entry from Alexandria: a relaxed structure of SBrOF2 (PBE-GGA).

The structure in POSCAR format:
```
SBrOF2
1.0
-1.695 -2.488 -3.645
3.029 -3.496 0.977
-2.529 -1.564 2.244
F S O Br
2 1 1 1
Direct
0.500 0.000 0.000
0.000 0.500 0.000
0.500 0.500 0.500
0.000 0.000 0.500
0.000 0.000 0.000
```

symmetry: No. 123
ΔE to the lowest computed polymorph: 2.55 eV/f.u.
DOS at the Fermi energy: 3.070 states/eV per cell
DFT total energy: -2.50 eV/atom
crystal system: tetragonal
size of the total moment: 0.52 μB per atom
raw formation energy: 0.400 eV per atom

6.
Entry from Alexandria: a relaxed structure of SBrOF2 (PBE-GGA).

The structure in POSCAR format:
```
SBrOF2
1.0
-2.562 -3.568 1.272
1.415 -2.325 -3.674
2.626 -1.244 1.799
O S Br F
1 1 1 2
Direct
0.000 0.000 0.500
0.000 0.000 0.000
0.500 0.500 0.500
0.000 0.500 0.000
0.500 0.000 0.000
```

symmetry: No. 123
ΔE to the lowest computed polymorph: 0.00 eV/f.u.
DOS at the Fermi energy: 3.825 states/eV per cell
DFT total energy: -3.01 eV/atom
crystal system: tetragonal
size of the total moment: 0.29 μB per atom
raw formation energy: -0.110 eV per atom

7.
Entry from Alexandria: a relaxed structure of SbBrO2F (PBE-GGA).

The structure in POSCAR format:
```
SbBrO2F
1.0
-2.527 2.337 1.750
-1.445 -3.012 1.936
3.601 0.869 4.040
Sb O Br F
1 2 1 1
Direct
0.500 0.500 0.500
0.500 0.000 0.000
0.000 0.500 0.000
0.000 0.000 0.000
0.000 0.000 0.500
```

symmetry: No. 123
DOS at the Fermi energy: 2.396 states/eV per cell
DFT total energy: -3.32 eV/atom
crystal system: tetragonal
size of the total moment: 0.04 μB per atom
raw formation energy: 0.199 eV per atom

8.
Entry from Alexandria: a relaxed structure of SbBrO2F (PBE-GGA).

The structure in POSCAR format:
```
SbBrO2F
1.0
-2.173 2.866 1.942
-2.954 -2.730 0.723
1.928 -1.089 3.764
Br O Sb F
1 2 1 1
Direct
0.500 0.500 0.500
0.000 0.500 0.000
0.500 0.000 0.000
0.000 0.000 0.000
0.000 0.000 0.500
```

symmetry: No. 123
DOS at the Fermi energy: 2.482 states/eV per cell
DFT total energy: -4.17 eV/atom
crystal system: tetragonal
size of the total moment: 0.31 μB per atom
raw formation energy: -0.655 eV per atom